# Ca2AcCrO6 (PBE+U, optimized geometry)
data_Ca2AcCrO6
_chemical_formula_sum 'Ca2 Ac1 Cr1 O6'
_cell_length_a 5.5932
_cell_length_b 5.5932
_cell_length_c 5.4254
_cell_angle_alpha 90.00
_cell_angle_beta 90.00
_cell_angle_gamma 90.00
_symmetry_space_group_name_H-M 'P 4 m m'
_symmetry_Int_Tables_number 99
loop_
_symmetry_equiv_pos_as_xyz
'x,y,z'
'-y,x,z'
'-x,-y,z'
'y,-x,z'
'-x,y,z'
'y,x,z'
'x,-y,z'
'-y,-x,z'
loop_
_atom_site_label
_atom_site_fract_x
_atom_site_fract_y
_atom_site_fract_z
Ca1 0.0000 0.5000 0.0000
Ac1 0.0000 0.0000 0.5848
Cr1 0.5000 0.5000 0.6595
O1 0.0000 0.0000 0.1558
O2 0.2783 0.2783 0.7756
O3 0.5000 0.5000 0.3524
# - Uncorrected energy: -6.944 eV per atom
# - V: 170 Å³/cell

---

# CrP2PbO (PBE+U, optimized geometry)
data_CrP2PbO
_chemical_formula_sum 'Cr1 P2 Pb1 O1'
_cell_length_a 5.1033
_cell_length_b 5.1033
_cell_length_c 3.5984
_cell_angle_alpha 90.00
_cell_angle_beta 90.00
_cell_angle_gamma 90.00
_symmetry_space_group_name_H-M 'P 4/m m m'
_symmetry_Int_Tables_number 123
_symmetry_space_group_name_Hall '-P 4 2'
loop_
_atom_site_label
_atom_site_fract_x
_atom_site_fract_y
_atom_site_fract_z
Cr1 0.0000 0.0000 0.0000
P1 0.0000 0.5000 0.0000
Pb1 0.5000 0.5000 0.5000
O1 0.0000 0.0000 0.5000
# - Excess energy over the best structure of this formula in the dataset: 0 meV per atom
# - Uncorrected energy: -5.229 eV per atom
# - V: 94 Å³/cell

---

Please write out number 2 again, unchanged.
# CrP2PbO (PBE+U, optimized geometry)
data_CrP2PbO
_chemical_formula_sum 'Cr1 P2 Pb1 O1'
_cell_length_a 5.1033
_cell_length_b 5.1033
_cell_length_c 3.5984
_cell_angle_alpha 90.00
_cell_angle_beta 90.00
_cell_angle_gamma 90.00
_symmetry_space_group_name_H-M 'P 4/m m m'
_symmetry_Int_Tables_number 123
_symmetry_space_group_name_Hall '-P 4 2'
loop_
_atom_site_label
_atom_site_fract_x
_atom_site_fract_y
_atom_site_fract_z
Cr1 0.0000 0.0000 0.0000
P1 0.0000 0.5000 0.0000
Pb1 0.5000 0.5000 0.5000
O1 0.0000 0.0000 0.5000
# - Excess energy over the best structure of this formula in the dataset: 0 meV per atom
# - Uncorrected energy: -5.229 eV per atom
# - V: 94 Å³/cell

---

Q: Look up the uncorrected energy of the first one.
A: -6.944 eV per atom